[1]
A relaxed YTlGa crystal, computed with PBE.

Summary:
ΔE to the lowest computed polymorph: 0.000 eV/atom
E: -4.31 eV per atom
calculated density: 8.20 g cm⁻³
formation energy: -354 meV/atom
Fermi-level density of states: 1.01 states/eV per cell
crystal system: trigonal
spin magnetization: 0.00 μB per cell

Cell lengths 4.6210, 4.6210, 3.9737 Å; angles 90.00, 90.00, 120.00 degrees
Space group P3m1 (No. 156)
Inequivalent atoms, fractional coordinates:
1 Y 0.0000 0.0000 0.0000 x1
2 Tl 0.6667 0.3333 0.4210 x1
3 Ga 0.3333 0.6667 0.6401 x1

[2]
A relaxed Y5Tl2Ga crystal, computed with PBE.

Summary:
E: -5.41 eV per atom
calculated density: 6.86 g cm⁻³
formation energy: -400 meV/atom
Fermi-level density of states: 13.90 states/eV per cell
crystal system: orthorhombic
spin magnetization: 0.00 μB per cell

Cell lengths 6.948, 12.835, 5.008 Å; angles 90.00, 90.00, 90.00 degrees
Space group Pbam (No. 55)
Inequivalent atoms, fractional coordinates:
1 Y 0.000 0.000 0.000 x2
2 Y 0.137 0.280 0.000 x4
3 Y 0.169 0.591 0.500 x4
4 Tl 0.109 0.842 0.500 x4
5 Ga 0.000 0.500 0.000 x2

[3]
A relaxed YTlGa crystal, computed with PBE.

Summary:
ΔE to the lowest computed polymorph: 0.128 eV/atom
E: -4.18 eV per atom
calculated density: 7.96 g cm⁻³
formation energy: -226 meV/atom
Fermi-level density of states: 3.87 states/eV per cell
crystal system: orthorhombic
spin magnetization: 0.00 μB per cell

Cell lengths 4.587, 11.688, 5.649 Å; angles 90.00, 90.00, 90.00 degrees
Space group Cmcm (No. 63)
Inequivalent atoms, fractional coordinates:
1 Y 0.000 0.096 0.250 x4
2 Tl 0.000 0.222 0.750 x4
3 Ga 0.000 0.433 0.250 x4

[4]
A relaxed Y4Tl5Ga2 crystal, computed with PBE.

Summary:
E: -4.35 eV per atom
calculated density: 8.76 g cm⁻³
formation energy: -373 meV/atom
Fermi-level density of states: 7.80 states/eV per cell
crystal system: monoclinic
spin magnetization: 0.00 μB per cell

Cell lengths 8.106, 3.725, 9.535 Å; angles 90.00, 92.30, 90.00 degrees
Space group P2/m (No. 10)
Inequivalent atoms, fractional coordinates:
1 Y 0.206 0.000 0.354 x2
2 Y 0.230 0.000 0.907 x2
3 Tl 0.139 0.500 0.632 x2
4 Tl 0.450 0.500 0.160 x2
5 Tl 0.500 0.500 0.500 x1
6 Ga 0.081 0.500 0.121 x2

[5]
A relaxed Yb2TlGa crystal, computed with PBE.

Summary:
E: -2.60 eV per atom
calculated density: 9.89 g cm⁻³
formation energy: -491 meV/atom
Fermi-level density of states: 99.79 states/eV per cell
crystal system: cubic
spin magnetization: 1.30 μB per cell

Cell lengths 7.468, 7.468, 7.468 Å; angles 90.00, 90.00, 90.00 degrees
Space group Fm-3m (No. 225)
Inequivalent atoms, fractional coordinates:
1 Yb 0.250 0.250 0.250 x8
2 Tl 0.000 0.000 0.000 x4
3 Ga 0.000 0.000 0.500 x4

[6]
A relaxed TlZn2Ga2 crystal, computed with PBE.

Summary:
ΔE to the lowest computed polymorph: 0.000 eV/atom
E: -2.14 eV per atom
calculated density: 7.78 g cm⁻³
formation energy: 54 meV/atom
Fermi-level density of states: 3.70 states/eV per cell
crystal system: tetragonal
spin magnetization: 0.00 μB per cell

Cell lengths 4.088, 4.088, 12.125 Å; angles 90.00, 90.00, 90.00 degrees
Space group I4/mmm (No. 139)
Inequivalent atoms, fractional coordinates:
1 Tl 0.000 0.000 0.000 x2
2 Zn 0.000 0.000 0.395 x4
3 Ga 0.000 0.500 0.250 x4

[7]
A relaxed Tl3Zn3Ga8 crystal, computed with PBE.

Summary:
E: -2.44 eV per atom
calculated density: 7.59 g cm⁻³
formation energy: 72 meV/atom
Fermi-level density of states: 9.21 states/eV per cell
crystal system: monoclinic
spin magnetization: 0.00 μB per cell

Cell lengths 17.813, 4.274, 8.516 Å; angles 90.00, 112.66, 90.00 degrees
Space group C2/m (No. 12)
Inequivalent atoms, fractional coordinates:
1 Tl 0.000 0.000 0.000 x2
2 Tl 0.221 0.500 0.660 x4
3 Zn 0.000 0.000 0.500 x2
4 Zn 0.206 0.500 0.018 x4
5 Ga 0.016 0.500 0.708 x4
6 Ga 0.121 0.000 0.410 x4
7 Ga 0.126 0.500 0.216 x4
8 Ga 0.127 0.000 0.827 x4

[8]
A relaxed TlZn2Ga2 crystal, computed with PBE.

Summary:
ΔE to the lowest computed polymorph: 0.051 eV/atom
E: -2.09 eV per atom
calculated density: 7.82 g cm⁻³
formation energy: 105 meV/atom
Fermi-level density of states: 3.55 states/eV per cell
crystal system: tetragonal
spin magnetization: 0.00 μB per cell

Cell lengths 8.245, 8.245, 2.967 Å; angles 90.00, 90.00, 90.00 degrees
Space group P4/mbm (No. 127)
Inequivalent atoms, fractional coordinates:
1 Tl 0.000 0.000 0.000 x2
2 Zn 0.163 0.337 0.500 x4
3 Ga 0.129 0.629 0.000 x4

Copy entry 1 word for word.
A relaxed YTlGa crystal, computed with PBE.

Summary:
ΔE to the lowest computed polymorph: 0.000 eV/atom
E: -4.31 eV per atom
calculated density: 8.20 g cm⁻³
formation energy: -354 meV/atom
Fermi-level density of states: 1.01 states/eV per cell
crystal system: trigonal
spin magnetization: 0.00 μB per cell

Cell lengths 4.6210, 4.6210, 3.9737 Å; angles 90.00, 90.00, 120.00 degrees
Space group P3m1 (No. 156)
Inequivalent atoms, fractional coordinates:
1 Y 0.0000 0.0000 0.0000 x1
2 Tl 0.6667 0.3333 0.4210 x1
3 Ga 0.3333 0.6667 0.6401 x1